{"formula": "LaSm2F11", "functional": "GGA-PBE", "state": "relaxed", "formation_energy_uncorrected_ev_per_atom": -3.427, "crystal_system": "orthorhombic", "cell": [[7.676, 0.000, 4.001], [3.440, 7.884, 2.764], [0.173, 0.113, 9.033]], "species": ["F", "F", "F", "F", "F", "F", "F", "F", "Sm", "F", "F", "Sm", "La", "F", "Sm", "F", "F", "F", "La", "F", "F", "F", "F", "F", "F", "F", "F", "Sm"], "fractional_positions": [[0.965, 0.815, 0.468], [0.535, 0.032, 0.685], [0.163, 0.052, 0.207], [0.465, 0.968, 0.315], [0.663, 0.707, 0.552], [0.837, 0.948, 0.793], [0.337, 0.293, 0.448], [0.000, 0.000, 0.000], [0.841, 0.190, 0.810], [0.077, 0.552, 0.707], [0.252, 0.315, 0.968], [0.159, 0.810, 0.190], [0.250, 0.250, 0.250], [0.108, 0.192, 0.808], [0.659, 0.690, 0.310], [0.752, 0.468, 0.815], [0.923, 0.448, 0.293], [0.423, 0.793, 0.948], [0.750, 0.750, 0.750], [0.577, 0.207, 0.052], [0.035, 0.185, 0.532], [0.248, 0.532, 0.185], [0.748, 0.685, 0.032], [0.892, 0.808, 0.192], [0.392, 0.692, 0.308], [0.608, 0.308, 0.692], [0.500, 0.500, 0.500], [0.341, 0.310, 0.690]]}

***

{"formula": "CdSnSe2", "functional": "GGA-PBE", "state": "relaxed", "formation_energy_uncorrected_ev_per_atom": -0.397, "crystal_system": "trigonal", "cell": [[4.349, 0.000, 0.000], [2.175, 3.767, 0.000], [2.175, 1.256, 8.293]], "species": ["Cd", "Se", "Se", "Sn"], "fractional_positions": [[0.984, 0.984, 0.047], [0.352, 0.352, 0.943], [0.872, 0.872, 0.384], [0.484, 0.484, 0.549]]}

***

{"formula": "CaLa2Tl", "functional": "GGA-PBE", "state": "relaxed", "polymorph_energy_kj_per_mol_fu": 25.2, "formation_enthalpy_0k_ev_per_atom": -0.133, "crystal_system": "monoclinic", "cell": [[5.970, 0.000, 0.000], [0.000, 3.703, -0.004], [0.000, 1.037, 6.143]], "species": ["Tl", "Ca", "La", "La"], "fractional_positions": [[0.500, 0.250, 0.250], [0.500, 0.750, 0.750], [0.000, 0.052, 0.036], [0.000, 0.448, 0.464]]}

***

{"formula": "Li2Mg2AgAu4", "functional": "GGA-PBE", "state": "relaxed", "formation_enthalpy_0k_ev_per_atom": -0.282, "crystal_system": "tetragonal", "cell": [[-1.753, 3.232, -4.798], [-4.670, -2.258, 3.103], [2.936, 3.339, 4.095]], "species": ["Au", "Mg", "Au", "Au", "Li", "Ag", "Au", "Mg", "Li"], "fractional_positions": [[0.000, 0.279, 0.721], [0.500, 0.250, 0.750], [0.558, 0.279, 0.279], [0.442, 0.721, 0.721], [0.000, 0.690, 0.690], [0.000, 0.000, 0.000], [0.000, 0.721, 0.279], [0.500, 0.750, 0.250], [0.000, 0.310, 0.310]]}

***

{"formula": "Be3GaO", "functional": "GGA-PBE", "state": "relaxed", "formation_energy_uncorrected_ev_per_atom": 0.974, "polymorph_energy_kj_per_mol_fu": 610.4, "crystal_system": "cubic", "cell": [[4.181, 0.000, 0.000], [0.000, 4.181, 0.000], [0.000, 0.000, 4.181]], "species": ["Be", "Be", "O", "Ga", "Be"], "fractional_positions": [[0.500, 0.000, 0.000], [0.000, 0.000, 0.500], [0.500, 0.500, 0.500], [0.000, 0.000, 0.000], [0.000, 0.500, 0.000]]}

***

{"formula": "KBaZn2", "functional": "GGA-PBE", "state": "relaxed", "polymorph_energy_kj_per_mol_fu": 67.3, "formation_enthalpy_0k_ev_per_atom": 0.145, "crystal_system": "monoclinic", "cell": [[-2.928, 2.373, -2.851], [-4.091, 1.813, 1.521], [1.990, 8.780, 1.655]], "species": ["K", "Zn", "Zn", "Ba"], "fractional_positions": [[0.250, 0.250, 0.250], [0.496, 0.496, 0.512], [0.004, 0.004, 0.988], [0.750, 0.750, 0.750]]}

***

{"formula": "RbCa3Cl", "functional": "GGA-PBE", "state": "relaxed", "formation_energy_uncorrected_ev_per_atom": 0.651, "polymorph_energy_kj_per_mol_fu": 474.6, "crystal_system": "cubic", "cell": [[7.373, 0.000, 0.000], [0.000, 7.373, 0.000], [0.000, 0.000, 7.373]], "species": ["Ca", "Rb", "Ca", "Ca", "Cl"], "fractional_positions": [[0.000, 0.000, 0.500], [0.000, 0.000, 0.000], [0.000, 0.500, 0.000], [0.500, 0.000, 0.000], [0.500, 0.500, 0.500]]}

***

{"formula": "Nd4S4Cl3", "functional": "GGA-PBE", "state": "relaxed", "formation_energy_uncorrected_ev_per_atom": -1.933, "crystal_system": "orthorhombic", "cell": [[-3.149, -2.538, -0.502], [5.140, -6.140, -1.192], [-1.010, 2.769, 8.875]], "species": ["Cl", "S", "Nd", "Cl", "S", "Cl", "S", "S", "Nd", "Nd", "Nd"], "fractional_positions": [[0.000, 0.500, 0.000], [0.334, 0.538, 0.668], [0.500, 0.224, 0.000], [0.089, 0.089, 0.178], [0.334, 0.130, 0.668], [0.911, 0.911, 0.822], [0.666, 0.462, 0.332], [0.666, 0.870, 0.332], [0.500, 0.776, 0.000], [0.235, 0.735, 0.469], [0.765, 0.265, 0.531]]}

***

Per-record spin magnetization, μB/atom: 0.1516 0.0000 0.0000 0.0000 0.2000 0.0000 0.0000 0.0000